La6Tm5Mg | PBE | optimized geometry

Cell: 3.8192 10.7506 10.7506 Å, 109.31 100.21 100.21°
Closest atoms and distances in Å follow each position.
Element x y z (fractional)
Mg 0.0000 0.0000 0.0000  4 Tm 3.23, 4 La 3.31
Tm 0.5000 0.1487 0.8513  2 Mg 3.23, 2 Tm 3.50, 4 La 3.62
Tm 0.0000 0.3161 0.6839  4 La 3.45-3.46, 6 Tm 3.50-3.82
Tm 0.5000 0.5000 0.5000  8 La 3.74-4.03, 6 Tm 3.75-3.82
Tm 0.0000 0.6839 0.3161  4 La 3.45-3.46, 6 Tm 3.50-3.82
Tm 0.5000 0.8513 0.1487  2 Mg 3.23, 2 Tm 3.50, 4 La 3.62
La 0.2575 0.0968 0.4208  6 La 3.44-3.82, 4 Tm 3.45-3.62
La 0.7425 0.5792 0.9032  6 La 3.44-3.82, 4 Tm 3.45-3.62
La 0.7286 0.2282 0.2282  2 Mg 3.31, 4 La 3.44-3.45
La 0.2714 0.7718 0.7718  2 Mg 3.31, 4 La 3.44-3.45
La 0.2575 0.4208 0.0968  6 La 3.44-3.82, 4 Tm 3.45-3.62
La 0.7425 0.9032 0.5792  6 La 3.44-3.82, 4 Tm 3.45-3.62

Summary:
space group	Immm
energy of formation from the pure elements	0.08	eV per atom
E_tot	-52.5	eV/cell



La2Y2TmMg5 | PBE | optimized geometry

Cell: 5.0900 10.6683 10.6683 Å, 90.00 90.00 90.00°
Closest atoms and distances in Å follow each position.
Element x y z (fractional)
La 0.0000 0.6755 0.1755  3 Y 3.06-3.22
La 0.0000 0.3245 0.8245  3 Y 3.06-3.22
La 0.0000 0.1755 0.3245  3 Y 3.06-3.22
La 0.0000 0.8245 0.6755  3 Y 3.06-3.22
Y 0.0000 0.1219 0.6219  3 La 3.06-3.22, 6 Mg 3.14-3.25
Y 0.0000 0.8781 0.3781  3 La 3.06-3.22, 6 Mg 3.14-3.25
Y 0.0000 0.6219 0.8781  3 La 3.06-3.22, 6 Mg 3.14-3.25
Y 0.0000 0.3781 0.1219  3 La 3.06-3.22, 6 Mg 3.14-3.25
Tm 0.0000 0.0000 0.0000  8 Mg 3.38
Tm 0.0000 0.5000 0.5000  8 Mg 3.38
Mg 0.5000 0.1968 0.0694  3 Mg 3.15-3.32, 2 Y 3.25, 2 Tm 3.38
Mg 0.5000 0.8032 0.9306  3 Mg 3.15-3.32, 2 Y 3.25, 2 Tm 3.38
Mg 0.5000 0.0694 0.8032  3 Mg 3.15-3.32, 2 Y 3.25, 2 Tm 3.38
Mg 0.5000 0.6968 0.4306  3 Mg 3.15-3.32, 2 Y 3.25, 2 Tm 3.38
Mg 0.5000 0.9306 0.1968  3 Mg 3.15-3.32, 2 Y 3.25, 2 Tm 3.38
Mg 0.5000 0.3032 0.5694  3 Mg 3.15-3.32, 2 Y 3.25, 2 Tm 3.38
Mg 0.5000 0.5694 0.6968  3 Mg 3.15-3.32, 2 Y 3.25, 2 Tm 3.38
Mg 0.5000 0.4306 0.3032  3 Mg 3.15-3.32, 2 Y 3.25, 2 Tm 3.38
Mg 0.5000 0.5000 0.0000  4 Y 3.14, 4 Mg 3.32
Mg 0.5000 0.0000 0.5000  4 Y 3.14, 4 Mg 3.32

Summary:
space group	P4/mbm
energy of formation from the pure elements	0.02	eV per atom
E_tot	-70.2	eV/cell



Question: Which formula does entry 1 have?
Answer: La6Tm5Mg